Record 1
# LuCuBiOs (PBE-GGA, optimized geometry)
data_LuCuBiOs
_chemical_formula_sum 'Lu4 Cu4 Bi4 Os4'
_cell_length_a 6.7879
_cell_length_b 6.7879
_cell_length_c 6.7879
_cell_angle_alpha 90.00
_cell_angle_beta 90.00
_cell_angle_gamma 90.00
_space_group_name_H-M_alt 'F -4 3 m'
_space_group_IT_number 216
_space_group_name_Hall 'F -4 2 3'
loop_
_atom_site_label
_atom_site_fract_x
_atom_site_fract_y
_atom_site_fract_z
_atom_site_occupancy
Lu1 0.0000 0.0000 0.0000 1
Cu1 0.0000 0.0000 0.5000 1
Bi1 0.2500 0.2500 0.2500 1
Os1 0.2500 0.2500 0.7500 1
# - spin magnetization (μB per formula unit) = 0.0
# - total energy (eV per atom) = -5.468
# - energy relative to the lowest polymorph listed for this composition (meV/atom) = 280



Record 2
# LuCuBiOs (PBE-GGA, optimized geometry)
data_LuCuBiOs
_chemical_formula_sum 'Lu4 Cu4 Bi4 Os4'
_cell_length_a 6.7464
_cell_length_b 6.7464
_cell_length_c 6.7464
_cell_angle_alpha 90.00
_cell_angle_beta 90.00
_cell_angle_gamma 90.00
_space_group_name_H-M_alt 'F -4 3 m'
_space_group_IT_number 216
_space_group_name_Hall 'F -4 2 3'
loop_
_atom_site_label
_atom_site_fract_x
_atom_site_fract_y
_atom_site_fract_z
_atom_site_occupancy
Lu1 0.0000 0.0000 0.0000 1
Cu1 0.2500 0.2500 0.7500 1
Bi1 0.0000 0.0000 0.5000 1
Os1 0.2500 0.2500 0.2500 1
# - spin magnetization (μB per formula unit) = 0.0
# - total energy (eV per atom) = -5.748
# - energy relative to the lowest polymorph listed for this composition (meV/atom) = 0



Record 3
# LuCuBiPd (PBE-GGA, optimized geometry)
data_LuCuBiPd
_chemical_formula_sum 'Lu4 Cu4 Bi4 Pd4'
_cell_length_a 6.8818
_cell_length_b 6.8818
_cell_length_c 6.8818
_cell_angle_alpha 90.00
_cell_angle_beta 90.00
_cell_angle_gamma 90.00
_space_group_name_H-M_alt 'F -4 3 m'
_space_group_IT_number 216
_space_group_name_Hall 'F -4 2 3'
loop_
_atom_site_label
_atom_site_fract_x
_atom_site_fract_y
_atom_site_fract_z
_atom_site_occupancy
Lu1 0.0000 0.0000 0.0000 1
Cu1 0.0000 0.0000 0.5000 1
Bi1 0.2500 0.2500 0.2500 1
Pd1 0.2500 0.2500 0.7500 1
# - spin magnetization (μB per formula unit) = 0.0
# - total energy (eV per atom) = -4.668
# - energy relative to the lowest polymorph listed for this composition (meV/atom) = 144